A plane-wave DFT calculation with GGA-PBEsol was carried out for an optimized crystal structure of KCr2OsCl.

```
KCr2OsCl
1.0
-0.015 -4.302 -1.550
3.599 -0.967 2.650
-4.087 -1.756 4.911
K Cl Os Cr
1 1 1 2
Cartesian
-2.044 -0.878 2.455
-0.251 -3.513 3.005
0.000 0.000 0.000
-0.007 -2.151 -0.775
1.800 -0.484 1.325
```

Formation energy from raw total energies   4.92 eV per formula unit



A plane-wave DFT calculation with GGA-PBEsol was carried out for an optimized crystal structure of KTl2CrCl.

```
KTl2CrCl
1.0
-3.965 2.397 3.115
-1.563 -5.584 2.308
4.107 0.767 4.636
Cr Tl Cl K
1 2 1 1
Cartesian
-1.982 1.199 1.558
-0.781 -2.792 1.154
2.053 0.384 2.318
-0.710 -1.210 5.030
0.000 0.000 0.000
```

Formation energy from raw total energies   5.30 eV per formula unit



A plane-wave DFT calculation with GGA-PBEsol was carried out for an optimized crystal structure of LaCr2Cl.

```
LaCr2Cl
1.0
-1.714 -1.124 -2.746
2.752 -3.713 -0.198
-3.120 -2.470 2.958
Cl Cr La
1 2 1
Cartesian
-1.040 -3.653 0.007
1.348 -3.536 -1.531
-0.309 -1.301 -1.412
-1.560 -1.235 1.479
```

Formation energy from raw total energies   1.13 eV per formula unit
Energy above the most stable polymorph in this dataset   0.0606 eV per atom



A plane-wave DFT calculation with GGA-PBEsol was carried out for an optimized crystal structure of La4CrCl.

```
La4CrCl
1.0
-5.967 0.678 -2.022
-4.781 -0.057 4.159
-3.180 5.338 1.246
La Cl Cr
4 1 1
Cartesian
-7.620 2.198 3.364
-6.811 4.923 1.893
-5.205 2.227 1.264
-8.219 2.570 0.243
-10.446 4.469 2.537
0.000 0.000 0.000
```

Formation energy from raw total energies   3.15 eV per formula unit



Here are the calculated Fermi-level density of states numbers, same order: 3.9; 3.4; 2.9; 9.8 (states/eV/cell).